[1]
# Rb3EuCl6 meta-GGA SCAN PBEsol geometry
data_Rb3EuCl6
_cell_length_a 11.390
_cell_length_b 11.390
_cell_length_c 11.390
_cell_angle_alpha 90.00
_cell_angle_beta 90.00
_cell_angle_gamma 90.00
_space_group_name_H-M_alt 'F m -3 m'
_space_group_IT_number 225
_space_group_name_Hall '-F 4 2 3'
loop_
_atom_site_label
_atom_site_type_symbol
_atom_site_fract_x
_atom_site_fract_y
_atom_site_fract_z
Rb1 Rb 0.000 0.000 0.000
Rb2 Rb 0.250 0.250 0.250
Eu1 Eu 0.000 0.000 0.500
Cl1 Cl 0.000 0.000 0.267
# Raw formation energy: -2.090 eV/atom

[2]
# V2CrRu meta-GGA SCAN PBEsol geometry
data_V2CrRu
_cell_length_a 5.846
_cell_length_b 5.846
_cell_length_c 5.846
_cell_angle_alpha 90.00
_cell_angle_beta 90.00
_cell_angle_gamma 90.00
_space_group_name_H-M_alt 'F m -3 m'
_space_group_IT_number 225
_space_group_name_Hall '-F 4 2 3'
loop_
_atom_site_label
_atom_site_type_symbol
_atom_site_fract_x
_atom_site_fract_y
_atom_site_fract_z
V1 V 0.250 0.250 0.250
Cr1 Cr 0.000 0.000 0.000
Ru1 Ru 0.000 0.000 0.500
# DFT formation energy: -351 meV/atom

[3]
# AlPS2I meta-GGA SCAN PBEsol geometry
data_AlPS2I
_cell_length_a 4.445
_cell_length_b 4.445
_cell_length_c 5.200
_cell_angle_alpha 90.00
_cell_angle_beta 90.00
_cell_angle_gamma 90.00
_space_group_name_H-M_alt 'P 4/m m m'
_space_group_IT_number 123
_space_group_name_Hall '-P 4 2'
loop_
_atom_site_label
_atom_site_type_symbol
_atom_site_fract_x
_atom_site_fract_y
_atom_site_fract_z
Al1 Al 0.000 0.000 0.000
P1 P 0.000 0.000 0.500
S1 S 0.000 0.500 0.000
I1 I 0.500 0.500 0.500
# Raw formation energy: 0.308 eV/atom

[4]
# ZnCuIr2 meta-GGA SCAN PBEsol geometry
data_ZnCuIr2
_cell_length_a 2.711
_cell_length_b 2.711
_cell_length_c 7.232
_cell_angle_alpha 90.00
_cell_angle_beta 90.00
_cell_angle_gamma 90.00
_space_group_name_H-M_alt 'P 4 m m'
_space_group_IT_number 99
_space_group_name_Hall 'P 4 -2'
loop_
_atom_site_label
_atom_site_type_symbol
_atom_site_fract_x
_atom_site_fract_y
_atom_site_fract_z
Zn1 Zn 0.000 0.000 0.000
Cu1 Cu 0.500 0.500 0.237
Ir1 Ir 0.000 0.000 0.488
Ir2 Ir 0.500 0.500 0.741
# DFT formation energy: -44 meV/atom

[5]
# Li3Ti2FeO6 meta-GGA SCAN PBEsol geometry
data_Li3Ti2FeO6
_cell_length_a 12.863
_cell_length_b 2.914
_cell_length_c 5.904
_cell_angle_alpha 90.00
_cell_angle_beta 106.15
_cell_angle_gamma 90.00
_space_group_name_H-M_alt 'C 1 2/m 1'
_space_group_IT_number 12
_space_group_name_Hall '-C 2y'
loop_
_atom_site_label
_atom_site_type_symbol
_atom_site_fract_x
_atom_site_fract_y
_atom_site_fract_z
Li1 Li 0.000 0.000 0.000
Li2 Li 0.163 0.500 0.325
Ti1 Ti 0.156 0.500 0.812
Fe1 Fe 0.000 0.000 0.500
O1 O 0.002 0.500 0.755
O2 O 0.172 0.000 0.057
O3 O 0.173 0.000 0.599
# Raw formation energy: -2.618 eV/atom

[6]
# MoPt3 meta-GGA SCAN PBEsol geometry
data_MoPt3
_cell_length_a 9.207
_cell_length_b 2.750
_cell_length_c 4.778
_cell_angle_alpha 90.00
_cell_angle_beta 99.86
_cell_angle_gamma 90.00
_space_group_name_H-M_alt 'C 1 2/m 1'
_space_group_IT_number 12
_space_group_name_Hall '-C 2y'
loop_
_atom_site_label
_atom_site_type_symbol
_atom_site_fract_x
_atom_site_fract_y
_atom_site_fract_z
Mo1 Mo 0.000 0.000 0.000
Pt1 Pt 0.000 0.500 0.500
Pt2 Pt 0.247 0.500 0.244
# DFT formation energy: -261 meV/atom

[7]
# YPbO2F meta-GGA SCAN PBEsol geometry
data_YPbO2F
_cell_length_a 4.385
_cell_length_b 4.385
_cell_length_c 4.228
_cell_angle_alpha 90.00
_cell_angle_beta 90.00
_cell_angle_gamma 90.00
_space_group_name_H-M_alt 'P 4/m m m'
_space_group_IT_number 123
_space_group_name_Hall '-P 4 2'
loop_
_atom_site_label
_atom_site_type_symbol
_atom_site_fract_x
_atom_site_fract_y
_atom_site_fract_z
Y1 Y 0.000 0.000 0.000
Pb1 Pb 0.500 0.500 0.500
O1 O 0.000 0.500 0.000
F1 F 0.000 0.000 0.500
# Raw formation energy: -2.627 eV/atom

[8]
# SrNi3W meta-GGA SCAN PBEsol geometry
data_SrNi3W
_cell_length_a 4.592
_cell_length_b 4.592
_cell_length_c 4.592
_cell_angle_alpha 90.00
_cell_angle_beta 90.00
_cell_angle_gamma 90.00
_space_group_name_H-M_alt 'P m -3 m'
_space_group_IT_number 221
_space_group_name_Hall '-P 4 2 3'
loop_
_atom_site_label
_atom_site_type_symbol
_atom_site_fract_x
_atom_site_fract_y
_atom_site_fract_z
Sr1 Sr 0.000 0.000 0.000
Ni1 Ni 0.000 0.500 0.500
W1 W 0.500 0.500 0.500
# DFT formation energy: 753 meV/atom